Entry from Alexandria: a relaxed structure of Li2HgGe (PBE-GGA).

Cell lengths 4.145, 4.145, 4.050 Å; angles 90.00, 90.00, 90.00 degrees
Element x y z (fractional)
Li (0.000, 0.500, 0.000)
Li (0.500, 0.000, 0.000)
Hg (0.000, 0.000, 0.500)
Ge (0.500, 0.500, 0.500)

## Properties
Fermi-level density of states ... 1.68 states/eV/f.u.
Crystal system ... tetragonal
VASP energy ... -2.432 eV per atom

Entry from Alexandria: a relaxed structure of LiMgHgGe (PBE-GGA).

Cell lengths 4.748, 4.748, 4.748 Å; angles 60.00, 60.00, 60.00 degrees
Element x y z (fractional)
Li (0.000, 0.000, 0.000)
Mg (0.500, 0.500, 0.500)
Hg (0.250, 0.250, 0.250)
Ge (0.750, 0.750, 0.750)

## Properties
Fermi-level density of states ... 1.63 states/eV/f.u.
Crystal system ... cubic
VASP energy ... -2.314 eV per atom
Excess energy over the best structure of this formula in the dataset ... 5 meV/atom

Entry from Alexandria: a relaxed structure of LiMgHgGe (PBE-GGA).

Cell lengths 4.935, 4.935, 4.935 Å; angles 125.88, 125.88, 80.09 degrees
Element x y z (fractional)
Li (0.000, 0.000, 0.000)
Mg (0.500, 0.500, 0.000)
Hg (0.750, 0.250, 0.500)
Ge (0.250, 0.750, 0.500)

## Properties
Fermi-level density of states ... 1.74 states/eV/f.u.
Crystal system ... tetragonal
VASP energy ... -2.320 eV per atom
Excess energy over the best structure of this formula in the dataset ... 0 meV/atom

Entry from Alexandria: a relaxed structure of Li2MgHgGe (PBE-GGA).

Cell lengths 4.983, 4.983, 5.011 Å; angles 90.00, 90.00, 90.00 degrees
Element x y z (fractional)
Li (0.000, 0.500, 0.000)
Li (0.500, 0.000, 0.000)
Mg (0.000, 0.000, 0.500)
Hg (0.500, 0.500, 0.500)
Ge (0.000, 0.000, 0.000)

## Properties
Fermi-level density of states ... 0.33 states/eV/f.u.
Crystal system ... tetragonal
VASP energy ... -2.165 eV per atom

Entry from Alexandria: a relaxed structure of LiMnHgGe (PBE-GGA).

Cell lengths 4.567, 4.567, 4.567 Å; angles 60.00, 60.00, 60.00 degrees
Element x y z (fractional)
Li (0.000, 0.000, 0.000)
Mn (0.500, 0.500, 0.500)
Hg (0.750, 0.750, 0.750)
Ge (0.250, 0.250, 0.250)

## Properties
Fermi-level density of states ... 1.46 states/eV/f.u.
Crystal system ... cubic
VASP energy ... -4.031 eV per atom

Entry from Alexandria: a relaxed structure of NaLiHgGe (PBE-GGA).

Cell lengths 4.833, 4.833, 4.833 Å; angles 60.00, 60.00, 60.00 degrees
Element x y z (fractional)
Na (0.000, 0.000, 0.000)
Li (0.750, 0.750, 0.750)
Hg (0.250, 0.250, 0.250)
Ge (0.500, 0.500, 0.500)

## Properties
Fermi-level density of states ... 1.07 states/eV/f.u.
Crystal system ... cubic
VASP energy ... -2.198 eV per atom

Entry from Alexandria: a relaxed structure of LiNbHg2Ge (PBE-GGA).

Cell lengths 5.384, 5.384, 5.073 Å; angles 90.00, 90.00, 90.00 degrees
Element x y z (fractional)
Li (0.000, 0.000, 0.000)
Nb (0.000, 0.000, 0.500)
Hg (0.000, 0.500, 0.500)
Hg (0.500, 0.000, 0.500)
Ge (0.500, 0.500, 0.000)

## Properties
Fermi-level density of states ... 4.66 states/eV/f.u.
Crystal system ... tetragonal
VASP energy ... -2.325 eV per atom

Entry from Alexandria: a relaxed structure of LiHg2GeO4 (PBE-GGA).

Cell lengths 6.621, 6.363, 5.636 Å; angles 90.00, 90.00, 90.00 degrees
Element x y z (fractional)
Li (0.000, 0.139, 0.000)
Li (0.500, 0.861, 0.500)
Hg (0.241, 0.343, 0.497)
Hg (0.259, 0.657, 0.997)
Hg (0.741, 0.657, 0.997)
Hg (0.759, 0.343, 0.497)
Ge (0.000, 0.844, 0.503)
Ge (0.500, 0.156, 0.003)
O (0.000, 0.093, 0.355)
O (0.000, 0.866, 0.821)
O (0.229, 0.710, 0.417)
O (0.271, 0.290, 0.917)
O (0.500, 0.134, 0.321)
O (0.500, 0.907, 0.855)
O (0.729, 0.290, 0.917)
O (0.771, 0.710, 0.417)

## Properties
Fermi-level density of states ... 1.27 states/eV/f.u.
Crystal system ... orthorhombic
VASP energy ... -4.445 eV per atom
ΔE_f (raw) ... -1.07 eV/atom

Entry from Alexandria: a relaxed structure of LiPaHgGe (PBE-GGA).

Cell lengths 4.949, 4.949, 4.949 Å; angles 60.00, 60.00, 60.00 degrees
Element x y z (fractional)
Li (0.000, 0.000, 0.000)
Pa (0.500, 0.500, 0.500)
Hg (0.250, 0.250, 0.250)
Ge (0.750, 0.750, 0.750)

## Properties
Fermi-level density of states ... 5.77 states/eV/f.u.
Crystal system ... cubic
VASP energy ... -4.247 eV per atom

Entry from Alexandria: a relaxed structure of LiHgGePb (PBE-GGA).

Cell lengths 5.072, 5.072, 5.072 Å; angles 60.00, 60.00, 60.00 degrees
Element x y z (fractional)
Li (0.000, 0.000, 0.000)
Hg (0.250, 0.250, 0.250)
Ge (0.500, 0.500, 0.500)
Pb (0.750, 0.750, 0.750)

## Properties
Fermi-level density of states ... 2.43 states/eV/f.u.
Crystal system ... cubic
VASP energy ... -2.640 eV per atom

Entry from Alexandria: a relaxed structure of Li2HgGe2Pd5 (PBE-GGA).

Cell lengths 9.452, 9.452, 3.747 Å; angles 90.00, 90.00, 90.00 degrees
Element x y z (fractional)
Li (0.169, 0.331, 0.000)
Li (0.331, 0.831, 0.000)
Li (0.669, 0.169, 0.000)
Li (0.831, 0.669, 0.000)
Hg (0.000, 0.000, 0.000)
Hg (0.500, 0.500, 0.000)
Ge (0.129, 0.629, 0.000)
Ge (0.371, 0.129, 0.000)
Ge (0.629, 0.871, 0.000)
Ge (0.871, 0.371, 0.000)
Pd (0.000, 0.500, 0.500)
Pd (0.076, 0.795, 0.500)
Pd (0.205, 0.076, 0.500)
Pd (0.295, 0.576, 0.500)
Pd (0.424, 0.295, 0.500)
Pd (0.500, 0.000, 0.500)
Pd (0.576, 0.705, 0.500)
Pd (0.705, 0.424, 0.500)
Pd (0.795, 0.924, 0.500)
Pd (0.924, 0.205, 0.500)

## Properties
Fermi-level density of states ... 2.66 states/eV/f.u.
Crystal system ... tetragonal
VASP energy ... -4.374 eV per atom

Entry from Alexandria: a relaxed structure of LiHgGePt (PBE-GGA).

Cell lengths 4.584, 4.584, 4.584 Å; angles 60.00, 60.00, 60.00 degrees
Element x y z (fractional)
Li (0.000, 0.000, 0.000)
Hg (0.750, 0.750, 0.750)
Ge (0.250, 0.250, 0.250)
Pt (0.500, 0.500, 0.500)

## Properties
Fermi-level density of states ... 1.16 states/eV/f.u.
Crystal system ... cubic
VASP energy ... -3.505 eV per atom

Entry from Alexandria: a relaxed structure of RbLiHg2Ge (PBE-GGA).

Cell lengths 5.663, 5.663, 5.101 Å; angles 90.00, 90.00, 90.00 degrees
Element x y z (fractional)
Rb (0.000, 0.000, 0.000)
Li (0.500, 0.500, 0.000)
Hg (0.000, 0.500, 0.500)
Hg (0.500, 0.000, 0.500)
Ge (0.500, 0.500, 0.500)

## Properties
Fermi-level density of states ... 3.25 states/eV/f.u.
Crystal system ... tetragonal
VASP energy ... -1.718 eV per atom

Entry from Alexandria: a relaxed structure of RbLi2HgGe (PBE-GGA).

Cell lengths 5.152, 5.152, 5.642 Å; angles 90.00, 90.00, 90.00 degrees
Element x y z (fractional)
Rb (0.000, 0.000, 0.000)
Li (0.000, 0.500, 0.500)
Li (0.500, 0.000, 0.500)
Hg (0.500, 0.500, 0.000)
Ge (0.500, 0.500, 0.500)

## Properties
Fermi-level density of states ... 2.34 states/eV/f.u.
Crystal system ... tetragonal
VASP energy ... -2.084 eV per atom

Entry from Alexandria: a relaxed structure of LiHgGe2S6 (PBE-GGA).

Cell lengths 8.600, 8.600, 6.313 Å; angles 101.41, 101.41, 86.65 degrees
Element x y z (fractional)
Li (0.231, 0.769, 0.750)
Li (0.769, 0.231, 0.250)
Hg (0.365, 0.635, 0.250)
Hg (0.635, 0.365, 0.750)
Ge (0.122, 0.291, 0.770)
Ge (0.291, 0.122, 0.270)
Ge (0.709, 0.878, 0.730)
Ge (0.878, 0.709, 0.230)
S (0.065, 0.204, 0.059)
S (0.099, 0.606, 0.402)
S (0.204, 0.065, 0.559)
S (0.311, 0.473, 0.852)
S (0.394, 0.901, 0.098)
S (0.473, 0.311, 0.352)
S (0.527, 0.689, 0.648)
S (0.606, 0.099, 0.902)
S (0.689, 0.527, 0.148)
S (0.796, 0.935, 0.441)
S (0.901, 0.394, 0.598)
S (0.935, 0.796, 0.941)

## Properties
Fermi-level density of states ... 5.27 states/eV/f.u.
Crystal system ... monoclinic
VASP energy ... -3.904 eV per atom
ΔE_f (raw) ... -0.28 eV/atom

Entry from Alexandria: a relaxed structure of LiScHgGe (PBE-GGA).

Cell lengths 4.758, 4.758, 4.758 Å; angles 60.00, 60.00, 60.00 degrees
Element x y z (fractional)
Li (0.000, 0.000, 0.000)
Sc (0.500, 0.500, 0.500)
Hg (0.250, 0.250, 0.250)
Ge (0.750, 0.750, 0.750)

## Properties
Fermi-level density of states ... 1.51 states/eV/f.u.
Crystal system ... cubic
VASP energy ... -3.746 eV per atom

Entry from Alexandria: a relaxed structure of LiHg2GeSe4 (PBE-GGA).

Cell lengths 8.617, 7.497, 7.024 Å; angles 90.00, 90.00, 90.00 degrees
Element x y z (fractional)
Li (0.000, 0.157, 0.000)
Li (0.500, 0.843, 0.500)
Hg (0.247, 0.330, 0.504)
Hg (0.253, 0.670, 0.004)
Hg (0.747, 0.670, 0.004)
Hg (0.753, 0.330, 0.504)
Ge (0.000, 0.826, 0.499)
Ge (0.500, 0.174, 0.999)
Se (0.000, 0.144, 0.369)
Se (0.000, 0.841, 0.860)
Se (0.248, 0.324, 0.891)
Se (0.252, 0.676, 0.391)
Se (0.500, 0.159, 0.360)
Se (0.500, 0.856, 0.869)
Se (0.748, 0.676, 0.391)
Se (0.752, 0.324, 0.891)

## Properties
Fermi-level density of states ... 4.21 states/eV/f.u.
Crystal system ... orthorhombic
VASP energy ... -3.002 eV per atom
ΔE_f (raw) ... -0.37 eV/atom

Entry from Alexandria: a relaxed structure of Li2HgGeSe4 (PBE-GGA).

Cell lengths 7.189, 7.189, 7.189 Å; angles 131.56, 131.56, 70.92 degrees
Element x y z (fractional)
Li (0.250, 0.750, 0.500)
Li (0.750, 0.250, 0.500)
Hg (0.000, 0.000, 0.000)
Ge (0.500, 0.500, 0.000)
Se (0.147, 0.599, 0.000)
Se (0.401, 0.401, 0.549)
Se (0.599, 0.147, 0.000)
Se (0.853, 0.853, 0.451)

## Properties
Crystal system ... tetragonal
VASP energy ... -3.494 eV per atom
ΔE_f (raw) ... -0.66 eV/atom

Entry from Alexandria: a relaxed structure of SrLiHgGe (PBE-GGA).

Cell lengths 5.190, 5.190, 5.190 Å; angles 60.00, 60.00, 60.00 degrees
Element x y z (fractional)
Sr (0.000, 0.000, 0.000)
Li (0.500, 0.500, 0.500)
Hg (0.750, 0.750, 0.750)
Ge (0.250, 0.250, 0.250)

## Properties
Fermi-level density of states ... 3.62 states/eV/f.u.
Crystal system ... cubic
VASP energy ... -2.465 eV per atom

Entry from Alexandria: a relaxed structure of LiHg2GeTe4 (PBE-GGA).

Cell lengths 7.981, 7.981, 7.981 Å; angles 131.58, 131.58, 70.90 degrees
Element x y z (fractional)
Li (0.000, 0.000, 0.000)
Hg (0.250, 0.750, 0.500)
Hg (0.750, 0.250, 0.500)
Ge (0.500, 0.500, 0.000)
Te (0.132, 0.132, 0.500)
Te (0.369, 0.868, 0.000)
Te (0.631, 0.631, 0.500)
Te (0.868, 0.369, 0.000)

## Properties
Fermi-level density of states ... 4.17 states/eV/f.u.
Crystal system ... tetragonal
VASP energy ... -2.704 eV per atom
ΔE_f (raw) ... -0.24 eV/atom

Entry from Alexandria: a relaxed structure of LiThHgGe (PBE-GGA).

Cell lengths 5.079, 5.079, 5.079 Å; angles 60.00, 60.00, 60.00 degrees
Element x y z (fractional)
Li (0.000, 0.000, 0.000)
Th (0.500, 0.500, 0.500)
Hg (0.750, 0.750, 0.750)
Ge (0.250, 0.250, 0.250)

## Properties
Fermi-level density of states ... 2.96 states/eV/f.u.
Crystal system ... cubic
VASP energy ... -3.917 eV per atom

Entry from Alexandria: a relaxed structure of LiTlHgGe2 (PBE-GGA).

Cell lengths 4.744, 4.744, 5.193 Å; angles 90.00, 90.00, 90.00 degrees
Element x y z (fractional)
Li (0.000, 0.000, 0.000)
Tl (0.000, 0.000, 0.500)
Hg (0.500, 0.500, 0.500)
Ge (0.000, 0.500, 0.000)
Ge (0.500, 0.000, 0.000)

## Properties
Fermi-level density of states ... 1.71 states/eV/f.u.
Crystal system ... tetragonal
VASP energy ... -2.444 eV per atom

Entry from Alexandria: a relaxed structure of LiTmHgGe (PBE-GGA).

Cell lengths 4.902, 4.902, 4.902 Å; angles 60.00, 60.00, 60.00 degrees
Element x y z (fractional)
Li (0.000, 0.000, 0.000)
Tm (0.500, 0.500, 0.500)
Hg (0.250, 0.250, 0.250)
Ge (0.750, 0.750, 0.750)

## Properties
Fermi-level density of states ... 1.47 states/eV/f.u.
Crystal system ... cubic
VASP energy ... -3.319 eV per atom

Entry from Alexandria: a relaxed structure of LiYHgGe (PBE-GGA).

Cell lengths 4.953, 4.953, 4.953 Å; angles 60.00, 60.00, 60.00 degrees
Element x y z (fractional)
Li (0.000, 0.000, 0.000)
Y (0.500, 0.500, 0.500)
Hg (0.250, 0.250, 0.250)
Ge (0.750, 0.750, 0.750)

## Properties
Fermi-level density of states ... 1.61 states/eV/f.u.
Crystal system ... cubic
VASP energy ... -3.828 eV per atom

Entry from Alexandria: a relaxed structure of LuHgGe2 (PBE-GGA).

Cell lengths 4.481, 4.481, 4.109 Å; angles 90.00, 90.00, 90.00 degrees
Element x y z (fractional)
Lu (0.000, 0.000, 0.000)
Hg (0.500, 0.500, 0.000)
Ge (0.000, 0.500, 0.500)
Ge (0.500, 0.000, 0.500)

## Properties
Fermi-level density of states ... 2.05 states/eV/f.u.
Crystal system ... tetragonal
VASP energy ... -3.829 eV per atom

Entry from Alexandria: a relaxed structure of LuMgHgGe (PBE-GGA).

Cell lengths 4.968, 4.968, 4.968 Å; angles 60.00, 60.00, 60.00 degrees
Element x y z (fractional)
Lu (0.000, 0.000, 0.000)
Mg (0.500, 0.500, 0.500)
Hg (0.750, 0.750, 0.750)
Ge (0.250, 0.250, 0.250)

## Properties
Fermi-level density of states ... 2.38 states/eV/f.u.
Crystal system ... cubic
VASP energy ... -3.106 eV per atom